First-principles (PBE) data for a relaxed structure of CaTcHg, as listed in Alexandria.

It has space group I4mm (No. 107), with a = 3.3748 Å, b = 3.3748 Å, c = 11.7063 Å, α = 90.00°, β = 90.00° and γ = 90.00°. Symmetry generates all atoms from Ca at (0.0000, 0.0000, 0.0000), Tc at (0.0000, 0.0000, 0.3295) and Hg at (0.0000, 0.0000, 0.6940).

The total energy is -3.77 eV per atom. The calculated volume comes out at 133.32 Å³ per cell. The value obtained for the energy relative to the elements is 43 kJ per mole of atoms. The value obtained for the magnetic moment is 3.7 μB per cell. The value obtained for the density of states at the Fermi level is 4.11 states/eV/cell. The calculation puts the energy relative to the lowest polymorph listed for this composition at 0.00 kcal/mol of atoms.

***

First-principles (PBE) data for a relaxed structure of RbTlAu4, as listed in Alexandria.

It has space group F-43m (No. 216), with a = 8.2692 Å, b = 8.2692 Å, c = 8.2692 Å, α = 90.00°, β = 90.00° and γ = 90.00°. Symmetry generates all atoms from Rb at (0.0000, 0.0000, 0.0000), Tl at (0.2500, 0.2500, 0.2500) and Au at (0.1251, 0.1251, 0.6251).

The total energy is -2.82 eV per atom. The calculated volume comes out at 565.44 Å³ per cell. The value obtained for the energy relative to the elements is -8 kJ per mole of atoms. The value obtained for the magnetic moment is 0.0 μB per cell. The value obtained for the density of states at the Fermi level is 18.19 states/eV/cell.

***

First-principles (PBE) data for a relaxed structure of MgBe5Pd6, as listed in Alexandria.

It has space group Cmmm (No. 65), with a = 4.0295 Å, b = 12.0789 Å, c = 5.9703 Å, α = 90.00°, β = 90.00° and γ = 90.00°. Symmetry generates all atoms from Mg at (0.0000, 0.0000, 0.0000), Be at (0.0000, 0.0000, 0.5000), Be at (0.0000, 0.3299, 0.0000), Be at (0.0000, 0.3347, 0.5000), Pd at (0.0000, 0.1715, 0.2587) and Pd at (0.0000, 0.5000, 0.2678).

The total energy is -4.84 eV per atom. The calculated volume comes out at 290.58 Å³ per cell. The value obtained for the energy relative to the elements is -54 kJ per mole of atoms. The value obtained for the magnetic moment is 0.0 μB per cell. The value obtained for the density of states at the Fermi level is 5.52 states/eV/cell.

***

First-principles (PBE) data for a relaxed structure of CdTcCl2, as listed in Alexandria.

It has space group R-3m (No. 166, hexagonal axes), with a = 3.3808 Å, b = 3.3808 Å, c = 30.0871 Å, α = 90.00°, β = 90.00° and γ = 120.00°. Symmetry generates all atoms from Cd at (0.0000, 0.0000, 0.0000), Tc at (0.0000, 0.0000, 0.5000) and Cl at (0.0000, 0.0000, 0.2157).

The total energy is -3.79 eV per atom. The calculation puts the uncorrected formation energy at -4.1 kJ per mole of atoms. The calculated volume comes out at 297.82 Å³ per cell. The value obtained for the magnetic moment is 2.9 μB per cell. The value obtained for the density of states at the Fermi level is 7.04 states/eV/cell. The calculation puts the energy relative to the lowest polymorph listed for this composition at 3.74 kcal/mol of atoms.

***

First-principles (PBE) data for a relaxed structure of AlZnS3, as listed in Alexandria.

It has space group P2_1/m (No. 11), with a = 5.4202 Å, b = 3.6408 Å, c = 10.3985 Å, α = 90.00°, β = 104.54° and γ = 90.00°. Symmetry generates all atoms from Al at (0.0024, 0.2500, 0.3423), Zn at (0.4464, 0.7500, 0.1195), S at (0.2273, 0.2500, 0.5777), S at (0.2529, 0.7500, 0.2922) and S at (0.2811, 0.7500, 0.8775).

The total energy is -4.10 eV per atom. The calculation puts the uncorrected formation energy at -59.8 kJ per mole of atoms. The calculated volume comes out at 198.63 Å³ per cell. The value obtained for the magnetic moment is 0.0 μB per cell. The value obtained for the density of states at the Fermi level is 3.40 states/eV/cell. The calculation puts the energy relative to the lowest polymorph listed for this composition at 0.00 kcal/mol of atoms.

***

First-principles (PBE) data for a relaxed structure of Cr2MoC, as listed in Alexandria.

It has space group Cmcm (No. 63), with a = 2.9277 Å, b = 8.6148 Å, c = 6.7822 Å, α = 90.00°, β = 90.00° and γ = 90.00°. Symmetry generates all atoms from Cr at (0.0000, 0.1484, 0.0603), Mo at (0.0000, 0.4360, 0.2500) and C at (0.0000, 0.2672, 0.7500).

The total energy is -9.87 eV per atom. The calculated volume comes out at 171.06 Å³ per cell. The value obtained for the energy relative to the elements is -5 kJ per mole of atoms. The value obtained for the magnetic moment is 0.0 μB per cell. The value obtained for the density of states at the Fermi level is 11.08 states/eV/cell.

***

The highest magnetic moment belongs to which entry?
CaTcHg

***

Number 3 is which compound?
MgBe5Pd6

***

Look up the calculated volume of the third one.
290.58 Å³ per cell

***

What is the magnetic moment in the fourth record?
2.9 μB per cell